MnP2Cl (PBE-GGA, optimized geometry); ΔE_f (raw) = 5.151 kcal/mol of atoms; energy above the lowest structure with this stoichiometry = 491.6 meV/atom; total magnetic moment = 0.0000 μB/atom
1.0
5.655 0.000 0.000
0.000 5.655 0.000
2.827 2.827 5.318
P Mn Cl
4 2 2
Direct
0.875 0.983 0.750
0.733 0.125 0.250
0.017 0.625 0.250
0.375 0.267 0.750
0.000 0.000 0.000
0.750 0.250 0.500
0.250 0.750 0.500
0.500 0.500 0.000